{
  "formula": "CsNb2WO8",
  "functional": "PBE+U",
  "state": "optimized geometry",
  "e_tot_ev_per_cell": -95.294,
  "space_group": "P-3m1, No. 164",
  "lattice": [[5.914, 0.000, 0.000], [-2.957, 5.122, 0.000], [0.000, 0.000, 8.443]],
  "species": ["Cs", "Nb", "Nb", "W", "O", "O", "O", "O", "O", "O", "O", "O"],
  "frac_coords": [[0.000, 0.000, 0.000], [0.333, 0.667, 0.710], [0.667, 0.333, 0.290], [0.000, 0.000, 0.500], [0.156, 0.313, 0.638], [0.156, 0.844, 0.638], [0.313, 0.156, 0.362], [0.333, 0.667, 0.921], [0.667, 0.333, 0.079], [0.687, 0.844, 0.638], [0.844, 0.156, 0.362], [0.844, 0.687, 0.362]]
}